(1)
A geometry-optimized Pr2BeCu structure. Source: Alexandria, functional PBE.

## Properties
Volume in A^3/atom: 23.34
Crystal system: cubic
ΔE_f in eV per atom: 0.067

Lattice parameters (Å, degrees): 5.0922 5.0922 5.0922 60.00 60.00 60.00
Closest atoms and distances in Å follow each position.
Sites, in units of the cell vectors:
Pr (0.7500, 0.7500, 0.7500)  4 Be 3.12, 4 Cu 3.12
Be (0.0000, 0.0000, 0.0000)  8 Pr 3.12
Pr (0.2500, 0.2500, 0.2500)  4 Be 3.12, 4 Cu 3.12
Cu (0.5000, 0.5000, 0.5000)  8 Pr 3.12



(2)
A geometry-optimized PrBeCu2 structure. Source: Alexandria, functional PBE.

## Properties
Volume in A^3/atom: 17.57
Crystal system: trigonal
ΔE_f in eV per atom: -0.105

Lattice parameters (Å, degrees): 4.0370 4.0370 5.4987 68.46 68.46 60.00
Closest atoms and distances in Å follow each position.
Sites, in units of the cell vectors:
Cu (0.8033, 0.8033, 0.5901)  3 Be 2.37, 3 Cu 2.50
Pr (0.0000, 0.0000, 0.0000)  8 Cu 2.94-3.10
Be (0.5000, 0.5000, 0.5000)  6 Cu 2.37
Cu (0.1967, 0.1967, 0.4099)  3 Be 2.37, 3 Cu 2.50



(3)
A geometry-optimized Pr2BeCu structure. Source: Alexandria, functional PBE.

## Properties
Volume in A^3/atom: 23.17
Crystal system: tetragonal
ΔE_f in eV per atom: 0.048

Lattice parameters (Å, degrees): 3.6084 3.6084 7.1191 90.00 90.00 90.00
Closest atoms and distances in Å follow each position.
Sites, in units of the cell vectors:
Cu (0.5000, 0.5000, 0.5000)  8 Pr 3.14
Be (0.5000, 0.5000, 0.0000)  8 Pr 3.08
Pr (0.0000, 0.0000, 0.7568)  4 Be 3.08, 4 Cu 3.14
Pr (0.0000, 0.0000, 0.2432)  4 Be 3.08, 4 Cu 3.14



(4)
A geometry-optimized PrBeCu structure. Source: Alexandria, functional PBE.

## Properties
Volume in A^3/atom: 21.31
Crystal system: orthorhombic
ΔE_f in eV per atom: 0.138

Lattice parameters (Å, degrees): 4.1710 4.4320 7.2639 72.24 90.00 90.00
Closest atoms and distances in Å follow each position.
Sites, in units of the cell vectors:
Be (0.0000, 0.0000, 0.0000)  2 Be 2.09, 2 Cu 2.18
Be (0.5000, 0.0000, 0.0000)  2 Be 2.09, 2 Cu 2.18
Cu (0.2500, 0.1383, 0.7235)  2 Be 2.18
Cu (0.7500, 0.8617, 0.2765)  2 Be 2.18
Pr (0.7500, 0.6370, 0.7259)  5 Cu 3.04-3.11, 4 Be 3.10
Pr (0.2500, 0.3630, 0.2741)  5 Cu 3.04-3.11, 4 Be 3.10



(5)
A geometry-optimized Pr2Be3Cu12Pt structure. Source: Alexandria, functional PBE.

## Properties
Volume in A^3/atom: 16.63
Crystal system: trigonal
ΔE_f in eV per atom: 0.307

Lattice parameters (Å, degrees): 7.4745 7.4745 7.4745 60.62 60.62 60.62
Closest atoms and distances in Å follow each position.
Sites, in units of the cell vectors:
Pr (0.3932, 0.3932, 0.3932)  6 Cu 2.89-2.91
Cu (0.3349, 0.8969, 0.3349)  2 Be 2.10
Cu (0.1220, 0.6020, 0.1220)  1 Be 2.10
Cu (0.8969, 0.3349, 0.3349)  2 Be 2.10
Cu (0.1031, 0.6651, 0.6651)  2 Be 2.10
Cu (0.8780, 0.3980, 0.8780)  1 Be 2.10
Be (0.0000, 0.5000, 0.0000)  6 Cu 2.10
Cu (0.6020, 0.1220, 0.1220)  1 Be 2.10
Cu (0.3980, 0.8780, 0.8780)  1 Be 2.10
Be (0.5000, 0.0000, 0.0000)  6 Cu 2.10
Cu (0.6651, 0.1031, 0.6651)  2 Be 2.10
Cu (0.6651, 0.6651, 0.1031)  2 Be 2.10
Pr (0.6068, 0.6068, 0.6068)  6 Cu 2.89-2.91
Be (0.0000, 0.0000, 0.5000)  6 Cu 2.10
Cu (0.3349, 0.3349, 0.8969)  2 Be 2.10
Cu (0.8780, 0.8780, 0.3980)  1 Be 2.10
Cu (0.1220, 0.1220, 0.6020)  1 Be 2.10
Pt (0.0000, 0.0000, 0.0000)  6 Cu 2.45



(6)
A geometry-optimized Pr2Be3CuPt4 structure. Source: Alexandria, functional PBE.

## Properties
Volume in A^3/atom: 16.76
Crystal system: tetragonal
ΔE_f in eV per atom: -0.783

Lattice parameters (Å, degrees): 4.0817 4.0817 10.0612 90.00 90.00 90.00
Closest atoms and distances in Å follow each position.
Sites, in units of the cell vectors:
Pt (0.0000, 0.5000, 0.3544)  3 Be 2.40-2.51, 2 Cu 2.51
Pr (0.0000, 0.5000, 0.7510)  8 Pt 3.07-3.23, 6 Be 3.18-3.25, 2 Cu 3.25
Be (0.5000, 0.0000, 0.8838)  5 Pt 2.35-2.40
Be (0.0000, 0.0000, 0.5000)  4 Pt 2.51
Pt (0.5000, 0.5000, 0.0000)  4 Be 2.35
Pr (0.5000, 0.0000, 0.2490)  8 Pt 3.07-3.23, 6 Be 3.18-3.25, 2 Cu 3.25
Cu (0.5000, 0.5000, 0.5000)  4 Pt 2.51
Be (0.0000, 0.5000, 0.1162)  5 Pt 2.35-2.40
Pt (0.5000, 0.0000, 0.6456)  3 Be 2.40-2.51, 2 Cu 2.51
Pt (0.0000, 0.0000, 0.0000)  4 Be 2.35



(7)
A geometry-optimized Pr2BeCuPt6 structure. Source: Alexandria, functional PBE.

## Properties
Volume in A^3/atom: 19.08
Crystal system: trigonal
ΔE_f in eV per atom: -0.712

Lattice parameters (Å, degrees): 5.6558 7.6288 5.6511 68.26 59.98 89.98
Closest atoms and distances in Å follow each position.
Sites, in units of the cell vectors:
Be (0.0000, 0.0000, 0.0000)  6 Pt 2.21
Pt (0.2723, 0.7914, 0.9677)  1 Be 2.21
Pr (0.2086, 0.6251, 0.5828)  9 Pt 3.05-3.33, 3 Cu 3.37-3.38
Pt (0.7598, 0.7908, 0.4804)  1 Be 2.21
Pt (0.7601, 0.7913, 0.9678)  1 Be 2.21
Pt (0.2399, 0.2087, 0.0322)  1 Be 2.21
Pr (0.7914, 0.3749, 0.4172)  9 Pt 3.05-3.33, 3 Cu 3.37-3.38
Cu (0.5000, 0.5000, 0.0000)  6 Pt 2.56
Pt (0.2402, 0.2092, 0.5196)  1 Be 2.21
Pt (0.7277, 0.2086, 0.0323)  1 Be 2.21



(8)
A geometry-optimized TbPrBeCu structure. Source: Alexandria, functional PBE.

## Properties
Volume in A^3/atom: 22.06
Crystal system: cubic
ΔE_f in eV per atom: 0.016

Lattice parameters (Å, degrees): 4.9970 4.9970 4.9970 60.00 60.00 60.00
Closest atoms and distances in Å follow each position.
Sites, in units of the cell vectors:
Be (0.7500, 0.7500, 0.7500)  4 Pr 3.06, 4 Tb 3.06
Cu (0.2500, 0.2500, 0.2500)  4 Pr 3.06, 4 Tb 3.06
Tb (0.5000, 0.5000, 0.5000)  4 Be 3.06, 4 Cu 3.06
Pr (0.0000, 0.0000, 0.0000)  4 Be 3.06, 4 Cu 3.06



(9)
A geometry-optimized PrTmBeCu structure. Source: Alexandria, functional PBE.

## Properties
Volume in A^3/atom: 21.45
Crystal system: cubic
ΔE_f in eV per atom: -0.003

Lattice parameters (Å, degrees): 4.9509 4.9509 4.9509 60.00 60.00 60.00
Closest atoms and distances in Å follow each position.
Sites, in units of the cell vectors:
Cu (0.2500, 0.2500, 0.2500)  4 Pr 3.03, 4 Tm 3.03
Tm (0.5000, 0.5000, 0.5000)  4 Be 3.03, 4 Cu 3.03
Pr (0.0000, 0.0000, 0.0000)  4 Cu 3.03, 4 Be 3.03
Be (0.7500, 0.7500, 0.7500)  4 Tm 3.03, 4 Pr 3.03



(10)
A geometry-optimized PrYBeCu structure. Source: Alexandria, functional PBE.

## Properties
Volume in A^3/atom: 22.01
Crystal system: cubic
ΔE_f in eV per atom: 0.007

Lattice parameters (Å, degrees): 4.9937 4.9937 4.9937 60.00 60.00 60.00
Closest atoms and distances in Å follow each position.
Sites, in units of the cell vectors:
Pr (0.2500, 0.2500, 0.2500)  4 Cu 3.06, 4 Be 3.06
Be (0.5000, 0.5000, 0.5000)  4 Y 3.06, 4 Pr 3.06
Cu (0.0000, 0.0000, 0.0000)  4 Pr 3.06, 4 Y 3.06
Y (0.7500, 0.7500, 0.7500)  4 Be 3.06, 4 Cu 3.06



(11)
A geometry-optimized PrBeZnCu6 structure. Source: Alexandria, functional PBE.

## Properties
Volume in A^3/atom: 15.19
Crystal system: orthorhombic
ΔE_f in eV per atom: 0.004

Lattice parameters (Å, degrees): 7.7767 5.1334 8.2826 108.05 118.00 90.00
Closest atoms and distances in Å follow each position.
Sites, in units of the cell vectors:
Zn (0.0000, 0.0000, 0.5000)  6 Cu 2.51-2.55
Pr (0.2501, 0.5001, 0.5002)  10 Cu 3.01-3.24, 4 Zn 3.22
Cu (0.8500, 0.5862, 0.1798)  1 Be 2.37, 6 Cu 2.46-2.61, 1 Zn 2.55
Cu (0.1500, 0.9064, 0.8202)  1 Be 2.37, 6 Cu 2.46-2.61, 1 Zn 2.55
Cu (0.8500, 0.0936, 0.1798)  1 Be 2.37, 6 Cu 2.46-2.61, 1 Zn 2.55
Be (0.5000, 0.5000, 0.0000)  6 Cu 2.25-2.37
Be (0.5000, 0.0000, 0.0000)  6 Cu 2.25-2.37
Cu (0.6703, 0.9064, 0.8202)  1 Be 2.37, 6 Cu 2.46-2.61, 1 Zn 2.55
Zn (0.5000, 0.0000, 0.5000)  6 Cu 2.51-2.55
Cu (0.9969, 0.7469, 0.9938)  10 Cu 2.55-2.61
Cu (0.3297, 0.5862, 0.1798)  1 Be 2.37, 6 Cu 2.46-2.61, 1 Zn 2.55
Cu (0.3297, 0.0936, 0.1798)  1 Be 2.37, 6 Cu 2.46-2.61, 1 Zn 2.55
Cu (0.1500, 0.4138, 0.8202)  1 Be 2.37, 6 Cu 2.46-2.61, 1 Zn 2.55
Cu (0.6346, 0.8846, 0.2692)  2 Be 2.25, 4 Cu 2.48, 2 Zn 2.51
Cu (0.6703, 0.4138, 0.8202)  1 Be 2.37, 6 Cu 2.46-2.61, 1 Zn 2.55
Cu (0.3654, 0.1154, 0.7308)  2 Be 2.25, 4 Cu 2.48, 2 Zn 2.51
Cu (0.0031, 0.2531, 0.0062)  10 Cu 2.55-2.61
Pr (0.7499, 0.4999, 0.4998)  10 Cu 3.01-3.24, 4 Zn 3.22



(12)
A geometry-optimized Pr2BeZn3Cu12 structure. Source: Alexandria, functional PBE.

## Properties
Volume in A^3/atom: 16.23
Crystal system: trigonal
ΔE_f in eV per atom: 0.116

Lattice parameters (Å, degrees): 9.2114 9.2114 9.2114 40.10 40.10 40.10
Closest atoms and distances in Å follow each position.
Sites, in units of the cell vectors:
Zn (0.5000, 0.0000, 0.0000)  6 Cu 2.43-2.52
Be (0.0000, 0.0000, 0.0000)  6 Cu 2.27
Pr (0.3445, 0.3445, 0.3445)  6 Cu 2.97-3.02
Cu (0.8088, 0.4214, 0.4214)  2 Zn 2.43, 4 Cu 2.45-2.52
Cu (0.9344, 0.9344, 0.3363)  1 Be 2.27, 4 Cu 2.52-2.54, 1 Zn 2.52
Pr (0.6555, 0.6555, 0.6555)  6 Cu 2.97-3.02
Cu (0.9344, 0.3363, 0.9344)  1 Be 2.27, 4 Cu 2.52-2.54, 1 Zn 2.52
Cu (0.5786, 0.5786, 0.1912)  2 Zn 2.43, 4 Cu 2.45-2.52
Cu (0.0656, 0.0656, 0.6637)  1 Be 2.27, 4 Cu 2.52-2.54, 1 Zn 2.52
Cu (0.6637, 0.0656, 0.0656)  1 Be 2.27, 4 Cu 2.52-2.54, 1 Zn 2.52
Zn (0.0000, 0.5000, 0.0000)  6 Cu 2.43-2.52
Cu (0.0656, 0.6637, 0.0656)  1 Be 2.27, 4 Cu 2.52-2.54, 1 Zn 2.52
Cu (0.5786, 0.1912, 0.5786)  2 Zn 2.43, 4 Cu 2.45-2.52
Zn (0.0000, 0.0000, 0.5000)  6 Cu 2.43-2.52
Cu (0.4214, 0.4214, 0.8088)  2 Zn 2.43, 4 Cu 2.45-2.52
Cu (0.4214, 0.8088, 0.4214)  2 Zn 2.43, 4 Cu 2.45-2.52
Cu (0.1912, 0.5786, 0.5786)  2 Zn 2.43, 4 Cu 2.45-2.52
Cu (0.3363, 0.9344, 0.9344)  1 Be 2.27, 4 Cu 2.52-2.54, 1 Zn 2.52



no.,VASP energy (eV per atom)
1,-4.278
2,-4.279
3,-4.297
4,-4.063
5,-3.911
6,-5.683
7,-6.074
8,-4.292
9,-4.271
10,-4.760
11,-3.813
12,-3.565